1.
Computed, not measured: crystalline Re2OsPb at its relaxed geometry at the GGA-PBE level of DFT.

The space group is P4/mmm (No. 123) and the conventional cell measures 4.7456, 4.7456 and 2.9829 Å, with angles of 90.00, 90.00 and 90.00 degrees. The distinct sites, in fractional coordinates, are Re at (0.0000, 0.5000, 0.0000), Os at (0.0000, 0.0000, 0.5000) and Pb at (0.5000, 0.5000, 0.5000).

Its density of states at the Fermi level is 4.220 states/eV/cell. The final energy comes out at -35.44 eV per formula unit. As for the formation energy: 1098 meV/atom. The mass density is 19.0 g/cm³.

2.
Computed, not measured: crystalline Re2OsPb at its relaxed geometry at the GGA-PBE level of DFT.

The space group is Imm2 (No. 44) and the conventional cell measures 3.0975, 4.7013 and 9.1688 Å, with angles of 90.00, 90.00 and 90.00 degrees. The distinct sites, in fractional coordinates, are Re at (0.0000, 0.0000, 0.0000), Re at (0.0000, 0.5000, 0.2559), Os at (0.0000, 0.5000, 0.7567) and Pb at (0.0000, 0.0000, 0.5042).

Its density of states at the Fermi level is 8.661 states/eV/cell. The final energy comes out at -35.72 eV per formula unit. As for the formation energy: 1030 meV/atom. The mass density is 19.1 g/cm³.

3.
Computed, not measured: crystalline ReOsPb2 at its relaxed geometry at the GGA-PBE level of DFT.

The space group is Pmm2 (No. 25) and the conventional cell measures 3.0362, 3.0492 and 9.6125 Å, with angles of 90.00, 90.00 and 90.00 degrees. The distinct sites, in fractional coordinates, are Re at (0.0000, 0.0000, 0.0000), Os at (0.5000, 0.5000, 0.8473), Pb at (0.0000, 0.0000, 0.6118) and Pb at (0.5000, 0.5000, 0.2403).

Its density of states at the Fermi level is 2.166 states/eV/cell. The final energy comes out at -29.42 eV per formula unit. The offset from the most stable computed form comes out at 0 meV per atom. As for the formation energy: 420 meV/atom. The mass density is 14.8 g/cm³.